The following is a DFT calculation (PBE-GGA) of CoPAu2 after structural relaxation.

Results
calculated density: 12.57 g cm⁻³
E: -4.34 eV/atom
DOS(E_F): 3.0 states/eV per cell

Cell and atoms, written as POSCAR:
```
CoPAu2
1.0
-4.132 6.383 4.043
-6.183 5.633 2.048
-5.986 4.147 4.597
P Au Co
1 2 1
Direct
0.750 0.750 0.750
0.501 0.501 0.501
0.999 0.999 0.999
0.250 0.250 0.250
```

The following is a DFT calculation (PBE-GGA) of CoPAu2 after structural relaxation.

Results
calculated density: 12.89 g cm⁻³
E: -4.30 eV/atom
DOS(E_F): 3.5 states/eV per cell

Cell and atoms, written as POSCAR:
```
CoPAu2
1.0
4.054 -1.331 1.262
0.822 -4.326 0.642
2.602 -2.217 -2.849
Co P Au
1 1 2
Direct
0.500 0.500 0.500
0.000 0.000 0.000
0.750 0.750 0.750
0.250 0.250 0.250
```

The following is a DFT calculation (PBE-GGA) of CoPAu2 after structural relaxation.

Results
calculated density: 12.08 g cm⁻³
E: -4.35 eV/atom
DOS(E_F): 7.5 states/eV per cell

Cell and atoms, written as POSCAR:
```
CoPAu2
1.0
7.180 0.000 0.000
0.000 7.180 0.000
3.590 3.590 2.581
Co Au P
2 4 2
Direct
0.000 0.000 0.000
0.750 0.250 0.500
0.149 0.625 0.250
0.601 0.125 0.250
0.375 0.399 0.750
0.875 0.851 0.750
0.500 0.500 0.000
0.250 0.750 0.500
```

The following is a DFT calculation (PBE-GGA) of Co2PAu after structural relaxation.

Results
calculated density: 10.19 g cm⁻³
E: -5.54 eV/atom
DOS(E_F): 3.6 states/eV per cell

Cell and atoms, written as POSCAR:
```
Co2PAu
1.0
-0.732 -7.897 3.685
0.339 -8.646 1.264
1.993 -7.845 3.311
P Au Co
1 1 2
Direct
0.520 0.520 0.520
0.744 0.744 0.744
0.247 0.247 0.247
0.989 0.989 0.989
```

The following is a DFT calculation (PBE-GGA) of CoPAu2 after structural relaxation.

Results
calculated density: 12.63 g cm⁻³
E: -4.74 eV/atom
DOS(E_F): 3.0 states/eV per cell

Cell and atoms, written as POSCAR:
```
CoPAu2
1.0
-3.814 4.235 -3.933
-2.879 0.564 -6.272
1.626 -3.718 5.611
P Au Co
1 2 1
Direct
0.250 0.750 0.500
0.072 0.072 0.000
0.428 0.428 0.000
0.750 0.250 0.500
```

The following is a DFT calculation (PBE-GGA) of CoP2Au after structural relaxation.

Results
calculated density: 8.48 g cm⁻³
E: -5.36 eV/atom
DOS(E_F): 2.6 states/eV per cell

Cell and atoms, written as POSCAR:
```
CoP2Au
1.0
4.024 0.005 0.021
2.973 2.712 0.021
2.221 0.862 5.723
P Co Au
2 1 1
Direct
0.794 0.794 0.772
0.896 0.896 0.147
0.208 0.208 0.068
0.602 0.602 0.513
```

The following is a DFT calculation (PBE-GGA) of CoPAu2 after structural relaxation.

Results
calculated density: 13.30 g cm⁻³
E: -4.75 eV/atom
DOS(E_F): 1.7 states/eV per cell

Cell and atoms, written as POSCAR:
```
CoPAu2
1.0
2.936 0.000 0.000
0.000 2.938 0.000
0.000 0.000 7.006
Co P Au
1 1 2
Direct
0.000 0.000 0.559
0.500 0.500 0.682
0.000 0.000 0.978
0.500 0.500 0.281
```

The following is a DFT calculation (PBE-GGA) of Co2P2Au after structural relaxation.

Results
calculated density: 9.43 g cm⁻³
E: -5.79 eV/atom
DOS(E_F): 3.2 states/eV per cell

Cell and atoms, written as POSCAR:
```
Co2P2Au
1.0
-0.774 -0.770 3.329
1.337 -3.210 -0.431
5.131 -0.178 2.996
P Au Co
2 1 2
Direct
0.750 0.250 0.500
0.250 0.750 0.500
0.000 0.000 0.000
0.374 0.374 0.251
0.626 0.626 0.749
```